# 1
An optimized crystal structure of ZnSi2Pb2, computed with PBE-GGA.

Results
Total energy (eV/cell): -36.1
Energy relative to the lowest polymorph listed for this composition (eV/f.u.): 0.027
Energy relative to the elements, uncorrected (eV/atom): 0.2966
SG: P4/mbm, No. 127

a = 6.608 Å, b = 6.608 Å, c = 5.219 Å
α = 90.00°, β = 90.00°, γ = 90.00°
Atoms (fractional coordinates):
Pb 0.194 0.694 0.500
Pb 0.694 0.806 0.500
Pb 0.806 0.306 0.500
Pb 0.306 0.194 0.500
Zn 0.000 0.000 0.000
Zn 0.500 0.500 0.000
Si 0.371 0.871 0.000
Si 0.871 0.629 0.000
Si 0.629 0.129 0.000
Si 0.129 0.371 0.000

---

# 2
An optimized crystal structure of PrSmDy5Er2, computed with PBE-GGA.

Results
Total energy (eV/cell): -80.4
ΔH_f (0 K) (eV per atom): 0.16
SG: Cmc2_1, No. 36

a = 5.616 Å, b = 10.329 Å, c = 10.565 Å
α = 90.00°, β = 90.00°, γ = 105.77°
Atoms (fractional coordinates):
Pr 0.583 0.167 0.949
Pr 0.417 0.833 0.449
Sm 0.799 0.599 0.513
Sm 0.201 0.401 0.013
Dy 0.390 0.779 0.024
Dy 0.719 0.438 0.812
Dy 0.478 0.955 0.736
Dy 0.298 0.597 0.709
Dy 0.983 0.966 0.526
Dy 0.610 0.221 0.524
Dy 0.281 0.562 0.312
Dy 0.522 0.045 0.236
Dy 0.702 0.403 0.209
Dy 0.017 0.034 0.026
Er 0.886 0.772 0.821
Er 0.111 0.222 0.734
Er 0.114 0.228 0.321
Er 0.889 0.778 0.234

---

# 3
An optimized crystal structure of Ca4AcSe5, computed with PBE-GGA.

Results
Total energy (eV/cell): -49.2
Energy relative to the elements, uncorrected (eV/atom): -1.9616
SG: I4/m, No. 87

a = 6.076 Å, b = 7.401 Å, c = 7.401 Å
α = 80.30°, β = 65.76°, γ = 65.76°
Atoms (fractional coordinates):
Ca 0.399 0.404 0.800
Ca 0.803 0.800 0.596
Ca 0.199 0.200 0.404
Ca 0.603 0.596 0.200
Ac 0.001 0.000 0.000
Se 0.897 0.412 0.796
Se 0.309 0.796 0.588
Se 0.693 0.204 0.412
Se 0.105 0.588 0.204
Se 0.501 0.000 0.000

---

# 4
An optimized crystal structure of Ac8Te4Rh3Pb, computed with PBE-GGA.

Results
Total energy (eV/cell): -87.9
Energy relative to the elements, uncorrected (eV/atom): -1.0440
SG: R-3m, No. 166

a = 9.079 Å, b = 9.540 Å, c = 9.080 Å
α = 118.43°, β = 120.00°, γ = 90.00°
Atoms (fractional coordinates):
Ac 0.248 0.714 0.966
Ac 0.248 0.714 0.496
Ac 0.261 0.283 0.522
Ac 0.718 0.714 0.966
Ac 0.282 0.286 0.034
Ac 0.739 0.717 0.478
Ac 0.752 0.286 0.504
Ac 0.752 0.286 0.034
Te 0.500 0.000 0.000
Te 0.500 0.000 0.500
Te 0.000 0.000 0.000
Te 0.000 0.000 0.500
Rh 0.500 0.500 0.000
Rh 0.500 0.500 0.500
Rh 0.000 0.500 0.500
Pb 0.000 0.500 0.000

---

# 5
An optimized crystal structure of LaMgSi2Ir2, computed with PBE-GGA.

Results
Total energy (eV/cell): -39.8
Energy relative to the elements, uncorrected (eV/atom): -0.7813
SG: P-3m1, No. 164

a = 4.266 Å, b = 4.266 Å, c = 7.014 Å
α = 90.00°, β = 90.00°, γ = 120.00°
Atoms (fractional coordinates):
La 0.000 0.000 0.000
Mg 0.000 0.000 0.500
Si 0.667 0.333 0.687
Si 0.333 0.667 0.313
Ir 0.667 0.333 0.311
Ir 0.333 0.667 0.689

---

# 6
An optimized crystal structure of PmGdThTl, computed with PBE-GGA.

Results
Total energy (eV/cell): -28.5
ΔH_f (0 K) (eV per atom): 0.04
SG: F-43m, No. 216

a = 5.538 Å, b = 5.538 Å, c = 5.538 Å
α = 60.00°, β = 60.00°, γ = 60.00°
Last column: magnetic moment on the atom in μB.
Atoms (fractional coordinates):
Tl 0.500 0.500 0.500  -0.01
Gd 0.250 0.250 0.250  7.17
Th 0.000 0.000 0.000  0.20
Pm 0.750 0.750 0.750  0.01

---

# 7
An optimized crystal structure of CePrBiSe, computed with PBE-GGA.

Results
Total energy (eV/cell): -22.9
Energy relative to the elements, uncorrected (eV/atom): -1.2000
SG: R3m, No. 160

a = 4.317 Å, b = 4.318 Å, c = 8.190 Å
α = 90.00°, β = 105.28°, γ = 120.00°
Last column: magnetic moment on the atom in μB.
Atoms (fractional coordinates):
Ce 0.298 0.547 0.861  0.92
Pr 0.973 0.384 0.372  0.06
Bi 0.133 0.964 0.112  -0.03
Se 0.474 0.135 0.625  -0.02

---

# 8
An optimized crystal structure of YHg2Sb2, computed with PBE-GGA.

Results
Total energy (eV/cell): -32.4
Energy relative to the lowest polymorph listed for this composition (eV/f.u.): 0.647
Energy relative to the elements, uncorrected (eV/atom): -0.1801
SG: P4/mbm, No. 127

a = 8.078 Å, b = 8.078 Å, c = 4.035 Å
α = 90.00°, β = 90.00°, γ = 90.00°
Atoms (fractional coordinates):
Y 0.000 0.000 0.000
Y 0.500 0.500 0.000
Sb 0.179 0.679 0.500
Sb 0.679 0.821 0.500
Sb 0.821 0.321 0.500
Sb 0.321 0.179 0.500
Hg 0.375 0.875 0.000
Hg 0.875 0.625 0.000
Hg 0.625 0.125 0.000
Hg 0.125 0.375 0.000

---

# 9
An optimized crystal structure of K4AsCl, computed with PBE-GGA.

Results
Total energy (eV/cell): -11.6
Energy relative to the lowest polymorph listed for this composition (eV/f.u.): 4.358
Energy relative to the elements, uncorrected (eV/atom): -0.1248
SG: F-43m, No. 216

a = 6.743 Å, b = 6.743 Å, c = 6.743 Å
α = 60.00°, β = 60.00°, γ = 60.00°
Last column: magnetic moment on the atom in μB.
Atoms (fractional coordinates):
K 0.875 0.375 0.375  0.00
K 0.375 0.375 0.875  0.00
K 0.375 0.875 0.375  0.00
K 0.375 0.375 0.375  0.00
As 0.750 0.750 0.750  0.07
Cl 0.000 0.000 0.000  0.01

---

# 10
An optimized crystal structure of Rb2InS, computed with PBE-GGA.

Results
Total energy (eV/cell): -9.7
Energy relative to the lowest polymorph listed for this composition (eV/f.u.): 0.438
Energy relative to the elements, uncorrected (eV/atom): -0.2272
SG: Fm-3m, No. 225

a = 5.917 Å, b = 5.917 Å, c = 5.917 Å
α = 60.00°, β = 60.00°, γ = 60.00°
Atoms (fractional coordinates):
S 0.000 0.000 0.000
Rb 0.250 0.250 0.250
Rb 0.750 0.750 0.750
In 0.500 0.500 0.500

---

# 11
An optimized crystal structure of BaScBe, computed with PBE-GGA.

Results
Total energy (eV/cell): -10.9
Energy relative to the lowest polymorph listed for this composition (eV/f.u.): 0.000
ΔH_f (0 K) (eV per atom): 0.35
SG: I4mm, No. 107

a = 6.928 Å, b = 6.927 Å, c = 3.565 Å
α = 75.10°, β = 75.10°, γ = 29.82°
Last column: magnetic moment on the atom in μB.
Atoms (fractional coordinates):
Sc 0.720 0.720 0.280  0.14
Be 0.300 0.300 0.700  0.00
Ba 0.981 0.981 0.019  0.06

---

# 12
An optimized crystal structure of Al2ZnSeI, computed with PBE-GGA.

Results
Total energy (eV/cell): -11.5
Energy relative to the elements, uncorrected (eV/atom): 0.4631
SG: P4/mmm, No. 123

a = 4.826 Å, b = 5.640 Å, c = 4.826 Å
α = 90.00°, β = 90.00°, γ = 90.00°
Atoms (fractional coordinates):
I 0.000 0.500 0.000
Zn 0.000 0.000 0.000
Al 0.000 0.000 0.500
Al 0.500 0.000 0.000
Se 0.500 0.500 0.500